Computed, not measured: a relaxed structure of KCoGeS3 at the PBE-GGA level of DFT.

a b c (Å): 7.7907 3.5535 10.0495
angles (deg): 90.00 110.67 90.00
Last column: nearest neighbours and their distance in Å.
Fractional coordinates of all 12 atoms:
1 K 0.2030 0.2500 0.2336  5 S 3.15-3.28, 1 Ge 3.47
2 K 0.7970 0.7500 0.7664  5 S 3.15-3.28, 1 Ge 3.47
3 Co 0.3784 0.7500 0.8542  6 S 2.22-2.37
4 Co 0.6216 0.2500 0.1458  6 S 2.22-2.37
5 Ge 0.1454 0.2500 0.5609  3 S 2.34-2.40
6 Ge 0.8546 0.7500 0.4391  3 S 2.34-2.40
7 S 0.1637 0.2500 0.7980  1 Ge 2.34, 2 Co 2.37
8 S 0.3674 0.7500 0.6187  1 Co 2.34, 2 Ge 2.40
9 S 0.4224 0.7500 0.0844  3 Co 2.22-2.30
10 S 0.5776 0.2500 0.9156  3 Co 2.22-2.30
11 S 0.6326 0.2500 0.3813  1 Co 2.34, 2 Ge 2.40
12 S 0.8363 0.7500 0.2020  1 Ge 2.34, 2 Co 2.37

Summary:
As for the total energy: -4.748 eV/atom.